VASP calculation (PBE) on a relaxed La5Bi4Br crystal.

Calculated values
Volume: 355.7 Å³ per cell
Mass density: 7519 kg/m3
Formation energy from raw total energies: -1.12 eV/atom
Symmetry: Immm

a = 4.6774 Å, b = 6.5808 Å, c = 12.2395 Å
α = 105.59°, β = 101.02°, γ = 90.00°
With the nearest neighbours (Å) after each atom.
Sites, in units of the cell vectors:
La  0.0000  0.5000  0.0000  4 Bi 3.27, 2 Br 3.29
La  0.2006  0.7006  0.4012  6 Bi 3.29-3.32
La  0.4003  0.9003  0.8006  4 Bi 3.25-3.29, 2 Br 3.28
La  0.5997  0.0997  0.1994  4 Bi 3.25-3.29, 2 Br 3.28
La  0.7994  0.2994  0.5988  6 Bi 3.29-3.32
Br  0.0000  0.0000  0.0000  6 La 3.28-3.29
Bi  0.1976  0.1976  0.3951  6 La 3.25-3.32
Bi  0.4009  0.4009  0.8018  6 La 3.27-3.31
Bi  0.5991  0.5991  0.1982  6 La 3.27-3.31
Bi  0.8024  0.8024  0.6049  6 La 3.25-3.32